54
Lattice="-5.440 1.914 4.209 4.158 -7.165 4.434 6.580 6.858 3.788" Properties=species:S:1:pos:R:3 comment="Na2GeH14S3O7 GGA-PBE optimized geometry" vol_a3_per_atom=12.17 e_tot_ev_per_cell=-257.2 pbc="T T T"
Na 3.086 3.258 3.555
Na 2.212 -1.651 8.875
Na 3.392 6.343 5.057
Na 1.906 -4.736 7.373
Ge 2.093 -2.039 2.517
Ge 3.205 3.646 9.912
H 1.891 1.453 1.581
H 3.408 0.154 10.849
H 3.314 -3.375 5.117
H 1.985 4.982 7.313
H 5.255 -1.567 4.711
H 0.043 3.174 7.719
H 3.729 3.685 6.373
H 1.569 -2.078 6.057
H 1.799 1.919 5.839
H 3.500 -0.312 6.591
H -0.570 -0.068 2.373
H 5.868 1.675 10.057
H 1.816 0.874 4.673
H 3.483 0.733 7.757
H 0.044 2.826 4.482
H 5.254 -1.219 7.948
H 4.108 0.480 3.543
H 1.190 1.127 8.887
H 5.118 3.823 5.686
H 0.181 -2.215 6.744
H -0.923 3.220 5.610
H 6.221 -1.613 6.819
H -1.520 -0.387 3.594
H 6.818 1.994 8.836
H 5.148 -4.458 5.913
H 0.151 6.065 6.517
H 3.303 -4.931 4.813
H 1.995 6.538 7.617
S -1.849 -1.532 5.688
S 7.147 3.139 6.742
S 1.236 -0.629 1.120
S 4.063 2.236 11.310
S 2.937 -1.227 4.398
S 2.361 2.834 8.032
O 1.637 1.826 4.877
O 3.662 -0.219 7.553
O 3.460 -4.260 5.536
O 1.838 5.867 6.894
O -1.436 0.180 2.794
O 6.734 1.427 9.635
O -0.808 3.298 4.626
O 6.106 -1.691 7.804
O 6.191 -1.607 5.028
O -0.892 3.214 7.402
O 1.937 2.442 1.644
O 3.361 -0.835 10.786
O 4.163 4.024 5.551
O 1.135 -2.417 6.879